i.
VASP calculation (GGA-PBE) on a relaxed La2Y2Er crystal.

Its theoretical density is 5.99 g cm⁻³. The size of the total moment comes out at 0.00 μB/f.u.

The space group is P2_1/c (No. 14) and the conventional cell measures 8.668, 12.649 and 6.625 Å, with angles of 90.00, 107.91 and 90.00 degrees. The distinct sites, in fractional coordinates, are La at (0.096, 0.047, 0.260), La at (0.362, 0.548, 0.251), Y at (0.054, 0.708, 0.928), Y at (0.295, 0.197, 0.971) and Er at (0.378, 0.659, 0.750).

***

ii.
VASP calculation (GGA-PBE) on a relaxed La2Y2Er crystal.

Its theoretical density is 6.08 g cm⁻³. The size of the total moment comes out at 0.00 μB/f.u.

The space group is C2/c (No. 15) and the conventional cell measures 16.050, 6.340 and 6.895 Å, with angles of 90.00, 103.93 and 90.00 degrees. The distinct sites, in fractional coordinates, are La at (0.099, 0.080, 0.444), Y at (0.200, 0.420, 0.151) and Er at (0.000, 0.416, 0.750).

***

Computed relative energies in units of meV per atom: i 112; ii 0